# 1
Below is a geometry-optimized Ho4Tm10Sc structure, with properties calculated at the PBE level.

Unit cell a=9.663 b=9.663 c=10.102 alpha=90.00 beta=90.00 gamma=90.00
Space group I4/m (No. 87)
One atom of each set of equivalent atoms:
Ho (0.070, 0.675, 0.000) x8
Tm (0.000, 0.500, 0.250) x4
Tm (0.109, 0.787, 0.337) x16
Sc (0.000, 0.000, 0.000) x2

Results
DOS at the Fermi energy, states/eV per atom: 1.6586
DFT formation energy, eV/atom: 0.391

# 2
Below is a geometry-optimized PrEuSn structure, with properties calculated at the PBE level.

Unit cell a=4.271 b=4.271 c=10.223 alpha=90.00 beta=90.00 gamma=90.00
Space group I4mm (No. 107)
One atom of each set of equivalent atoms:
Pr (0.000, 0.000, 0.000) x2
Eu (0.000, 0.000, 0.692) x2
Sn (0.000, 0.000, 0.351) x2

Results
Energy above the lowest structure with this stoichiometry, eV per formula unit: 0.00
DOS at the Fermi energy, states/eV per atom: 1.0292
DFT formation energy, eV/atom: -0.460